Entry 1:
# HgPtW2

Crystalline HgPtW2 at its relaxed geometry (GGA-PBE, the Alexandria database).

Cell and atoms, written as CIF:
```
data_HgPtW2
_cell_length_a 2.7729
_cell_length_b 4.2729
_cell_length_c 5.7252
_cell_angle_alpha 90.00
_cell_angle_beta 90.00
_cell_angle_gamma 90.00
_space_group_name_H-M_alt 'P m m m'
_space_group_IT_number 47
loop_
_space_group_symop_operation_xyz
'x,y,z'
'-x,-y,-z'
'-x,-y,z'
'x,y,-z'
'x,-y,-z'
'-x,y,z'
'-x,y,-z'
'x,-y,z'
loop_
_atom_site_label
_atom_site_type_symbol
_atom_site_fract_x
_atom_site_fract_y
_atom_site_fract_z
Hg1 Hg 0.0000 0.0000 0.0000
Pt1 Pt 0.0000 0.0000 0.5000
W1 W 0.5000 0.5000 0.2742
```

Calculated values
- formation enthalpy at 0 K (eV/f.u.) = 1.66
- total energy (eV per atom) = -7.647
- size of the total moment (μB/cell) = 0.000



Entry 2:
# Sc2PRu

Crystalline Sc2PRu at its relaxed geometry (GGA-PBE, the Alexandria database).

Cell and atoms, written as CIF:
```
data_Sc2PRu
_cell_length_a 3.0434
_cell_length_b 3.0434
_cell_length_c 7.6205
_cell_angle_alpha 90.00
_cell_angle_beta 90.00
_cell_angle_gamma 90.00
_space_group_name_H-M_alt 'P 4 m m'
_space_group_IT_number 99
loop_
_space_group_symop_operation_xyz
'x,y,z'
'-y,x,z'
'-x,-y,z'
'y,-x,z'
'-x,y,z'
'y,x,z'
'x,-y,z'
'-y,-x,z'
loop_
_atom_site_label
_atom_site_type_symbol
_atom_site_fract_x
_atom_site_fract_y
_atom_site_fract_z
Sc1 Sc 0.0000 0.0000 0.0000
Sc2 Sc 0.5000 0.5000 0.3445
P1 P 0.0000 0.0000 0.5915
Ru1 Ru 0.5000 0.5000 0.7405
```

Calculated values
- formation enthalpy at 0 K (eV/f.u.) = -2.08
- total energy (eV per atom) = -7.357
- size of the total moment (μB/cell) = 0.000



Entry 3:
# Na2CdGeTe4

Crystalline Na2CdGeTe4 at its relaxed geometry (GGA-PBE, the Alexandria database).

Cell and atoms, written as CIF:
```
data_Na2CdGeTe4
_cell_length_a 8.9291
_cell_length_b 8.7428
_cell_length_c 7.7182
_cell_angle_alpha 90.00
_cell_angle_beta 90.00
_cell_angle_gamma 90.00
_space_group_name_H-M_alt 'P m n 21'
_space_group_IT_number 31
loop_
_space_group_symop_operation_xyz
'x,y,z'
'-x+1/2,-y,z+1/2'
'-x,y,z'
'x+1/2,-y,z+1/2'
loop_
_atom_site_label
_atom_site_type_symbol
_atom_site_fract_x
_atom_site_fract_y
_atom_site_fract_z
Na1 Na 0.2407 0.1727 0.0000
Cd1 Cd 0.0000 0.3614 0.4854
Ge1 Ge 0.0000 0.6634 0.9949
Te1 Te 0.0000 0.3917 0.8590
Te2 Te 0.0000 0.6555 0.3332
Te3 Te 0.2378 0.8229 0.9009
```

Calculated values
- total energy (eV per atom) = -3.050
- size of the total moment (μB/cell) = 0.000
- raw formation energy (meV per atom) = -458



Entry 4:
# Pm2Y5Mg

Crystalline Pm2Y5Mg at its relaxed geometry (GGA-PBE, the Alexandria database).

Cell and atoms, written as CIF:
```
data_Pm2Y5Mg
_cell_length_a 6.4650
_cell_length_b 8.6582
_cell_length_c 9.8337
_cell_angle_alpha 101.99
_cell_angle_beta 99.48
_cell_angle_gamma 99.08
_space_group_name_H-M_alt 'P -1'
_space_group_IT_number 2
loop_
_space_group_symop_operation_xyz
'x,y,z'
'-x,-y,-z'
loop_
_atom_site_label
_atom_site_type_symbol
_atom_site_fract_x
_atom_site_fract_y
_atom_site_fract_z
Pm1 Pm 0.0000 0.0000 0.0000
Pm2 Pm 0.0000 0.0000 0.5000
Pm3 Pm 0.5000 0.0000 0.0000
Pm4 Pm 0.5000 0.5000 0.5000
Y1 Y 0.0766 0.6870 0.6608
Y2 Y 0.1861 0.6932 0.3196
Y3 Y 0.2196 0.6181 0.9776
Y4 Y 0.3154 0.2669 0.7814
Y5 Y 0.4449 0.0811 0.3524
Mg1 Mg 0.3430 0.3547 0.1504
```

Calculated values
- formation enthalpy at 0 K (eV/f.u.) = 1.08
- total energy (eV per atom) = -5.292
- size of the total moment (μB/cell) = 0.000



Entry 5:
# Ce2ThSc8

Crystalline Ce2ThSc8 at its relaxed geometry (GGA-PBE, the Alexandria database).

Cell and atoms, written as CIF:
```
data_Ce2ThSc8
_cell_length_a 6.3816
_cell_length_b 6.3816
_cell_length_c 8.2134
_cell_angle_alpha 90.00
_cell_angle_beta 90.00
_cell_angle_gamma 120.00
_space_group_name_H-M_alt 'P -3 m 1'
_space_group_IT_number 164
_space_group_name_Hall '-P 3 2"'
loop_
_atom_site_label
_atom_site_type_symbol
_atom_site_fract_x
_atom_site_fract_y
_atom_site_fract_z
Ce1 Ce 0.3333 0.6667 0.3441
Th1 Th 0.0000 0.0000 0.0000
Sc1 Sc 0.1661 0.3322 0.6668
Sc2 Sc 0.3333 0.6667 0.9962
```

Calculated values
- formation enthalpy at 0 K (eV/f.u.) = 2.39
- total energy (eV per atom) = -6.141
- size of the total moment (μB/cell) = 0.257



Entry 6:
# Ta2HgWC

Crystalline Ta2HgWC at its relaxed geometry (GGA-PBE, the Alexandria database).

Cell and atoms, written as CIF:
```
data_Ta2HgWC
_cell_length_a 4.2933
_cell_length_b 4.2933
_cell_length_c 4.4123
_cell_angle_alpha 90.00
_cell_angle_beta 90.00
_cell_angle_gamma 90.00
_space_group_name_H-M_alt 'P 4/m m m'
_space_group_IT_number 123
_space_group_name_Hall '-P 4 2'
loop_
_atom_site_label
_atom_site_type_symbol
_atom_site_fract_x
_atom_site_fract_y
_atom_site_fract_z
Ta1 Ta 0.0000 0.5000 0.0000
Hg1 Hg 0.0000 0.0000 0.5000
W1 W 0.5000 0.5000 0.5000
C1 C 0.0000 0.0000 0.0000
```

Calculated values
- formation enthalpy at 0 K (eV/f.u.) = 3.16
- total energy (eV per atom) = -8.605
- size of the total moment (μB/cell) = 0.000